The following is a GGA-PBE calculation of crystalline Be2Ni21B6 at its relaxed geometry, from Alexandria.

The space group is Fm-3m (No. 225) and the conventional cell measures 10.3787, 10.3787 and 10.3787 Å, with angles of 90.00, 90.00 and 90.00 degrees. Symmetry generates all atoms from Be at (0.2500, 0.2500, 0.2500), Ni at (0.0000, 0.0000, 0.0000), Ni at (0.0000, 0.1690, 0.1690), Ni at (0.1209, 0.1209, 0.3791) and B at (0.0000, 0.0000, 0.2752).

***

The following is a GGA-PBE calculation of crystalline BeNiB at its relaxed geometry, from Alexandria.

The space group is F-43m (No. 216) and the conventional cell measures 4.7279, 4.7279 and 4.7279 Å, with angles of 90.00, 90.00 and 90.00 degrees. Symmetry generates all atoms from Be at (0.0000, 0.0000, 0.0000), Ni at (0.0000, 0.0000, 0.5000) and B at (0.2500, 0.2500, 0.2500).

***

| no. | DFT total energy (eV/atom) |
| --- | --- |
| 1 | -6.076 |
| 2 | -5.486 |